BaMg2 (SCAN, single point on PBEsol structure); energy of formation from the pure elements = 0.01 eV per atom; Fermi-level density of states = 4.3 states/eV per cell; M_tot = 0.00 μB/f.u.; crystal system = orthorhombic; calculated density = 3.1 g/cm3; space-group type = Cmcm
1.0
-1.789 -0.827 -4.787
4.892 -2.040 -1.476
-1.173 -5.892 4.255
Ba Mg
2 4
direct
0.589 0.750 0.178
0.411 0.250 0.822
0.884 0.750 0.768
0.259 0.750 0.517
0.741 0.250 0.483
0.116 0.250 0.232


BaMgMn2 (SCAN, single point on PBEsol structure); energy of formation from the pure elements = 0.37 eV per atom; Fermi-level density of states = 4.5 states/eV per cell; M_tot = 9.13 μB/f.u.; crystal system = cubic; calculated density = 4.6 g/cm3; space-group type = F-43m
1.0
5.170 0.000 0.000
2.585 4.477 0.000
2.585 1.492 4.221
Mn Mg Ba
2 1 1
direct
0.000 0.000 0.000
0.750 0.750 0.750
0.250 0.250 0.250
0.500 0.500 0.500


BaMgMn (SCAN, single point on PBEsol structure); energy of formation from the pure elements = 0.80 eV per atom; Fermi-level density of states = 3.4 states/eV per cell; M_tot = 4.10 μB/f.u.; crystal system = cubic; calculated density = 3.2 g/cm3; space-group type = F-43m
1.0
-4.706 1.564 -2.128
-4.405 -3.047 0.659
-3.989 1.686 3.219
Mg Mn Ba
1 1 1
direct
0.000 0.000 0.000
0.500 0.500 0.500
0.250 0.250 0.250


BaMgMn (SCAN, single point on PBEsol structure); energy of formation from the pure elements = 0.17 eV per atom; Fermi-level density of states = 2.3 states/eV per cell; M_tot = 3.97 μB/f.u.; crystal system = tetragonal; calculated density = 4.3 g/cm3; space-group type = I4mm
1.0
3.694 0.000 0.000
0.000 3.694 0.000
-1.847 -1.847 6.168
Mn Mg Ba
1 1 1
direct
0.699 0.699 0.397
0.293 0.293 0.586
0.008 0.008 0.017


BaMgMn2 (SCAN, single point on PBEsol structure); energy of formation from the pure elements = 0.31 eV per atom; Fermi-level density of states = 2.8 states/eV per cell; M_tot = 7.94 μB/f.u.; crystal system = monoclinic; calculated density = 4.6 g/cm3; space-group type = C2/m
1.0
3.180 0.000 0.000
-1.590 4.640 0.041
0.000 -0.954 6.624
Mg Mn Ba
1 2 1
direct
0.000 0.000 0.500
0.261 0.523 0.348
0.739 0.477 0.652
0.500 0.000 0.000


BaMg2Mn (SCAN, single point on PBEsol structure); energy of formation from the pure elements = 0.16 eV per atom; Fermi-level density of states = 2.4 states/eV per cell; M_tot = 4.91 μB/f.u.; crystal system = cubic; calculated density = 3.7 g/cm3; space-group type = F-43m
1.0
-1.419 1.496 -4.930
-5.055 -0.603 -1.624
-3.112 4.288 -0.699
Mg Ba Mn
2 1 1
direct
0.000 0.000 0.000
0.750 0.750 0.750
0.500 0.500 0.500
0.250 0.250 0.250


BaMg3Mn (SCAN, single point on PBEsol structure); energy of formation from the pure elements = 0.15 eV per atom; Fermi-level density of states = 3.1 states/eV per cell; M_tot = 3.00 μB/f.u.; crystal system = cubic; calculated density = 3.1 g/cm3; space-group type = Pm-3m
1.0
-1.463 -4.748 1.591
4.829 -0.899 1.756
-1.324 1.965 4.647
Mg Mn Ba
3 1 1
direct
0.000 0.000 0.500
0.000 0.500 0.000
0.500 0.000 0.000
0.000 0.000 0.000
0.500 0.500 0.500


BaMg2Mn (SCAN, single point on PBEsol structure); energy of formation from the pure elements = 0.21 eV per atom; Fermi-level density of states = 2.8 states/eV per cell; M_tot = 3.71 μB/f.u.; crystal system = orthorhombic; calculated density = 3.8 g/cm3; space-group type = Immm
1.0
3.349 0.000 0.000
0.000 5.485 0.000
-1.674 -2.743 5.728
Ba Mg Mn
1 2 1
direct
0.500 0.000 0.000
0.294 0.294 0.588
0.706 0.706 0.412
0.000 0.500 0.000